A plane-wave DFT calculation with PBE was carried out for a geometry-optimized LaZrMo2 structure.

The structure in POSCAR format:
```
LaZrMo2
1.0
-2.0133 2.0133 5.0939
2.0133 -2.0133 5.0939
2.0133 2.0133 -5.0939
La Zr Mo
1 1 2
Cartesian
0.0000 0.0000 0.0000
0.0000 2.0133 2.5470
2.0133 0.0000 2.5470
0.0000 0.0000 5.0939
```

total moment	0.00	μB per formula unit
final energy	-32.81	eV/cell
formation energy	583	meV/atom
space group	I-4m2 (119)